Computed, not measured: RbLaVO4 after structural relaxation at the GGA+U level of DFT.

Summary:
Final energy = -100.47 eV for the cell shown
Crystal system = monoclinic

abc: 6.2404 6.0710 7.7175
angles: 90.00 106.25 90.00
Last column: nearest neighbours and their distance in Å.
Space group P2_1/m (No. 11)
One atom of each set of equivalent atoms:
1 Rb 0.2079 0.2500 0.4294 (multiplicity 2)  2 O 2.83-2.95
2 La 0.3069 0.2500 0.9513 (multiplicity 2)  6 O 2.37-2.60
3 V 0.2252 0.7500 0.1564 (multiplicity 2)  4 O 1.75-1.90
4 O 0.0488 0.7500 0.9358 (multiplicity 2)  1 V 1.75
5 O 0.0547 0.7500 0.3066 (multiplicity 2)  1 V 1.78
6 O 0.4412 0.5253 0.1729 (multiplicity 4)  1 V 1.90